# Nb2ReRuO, relaxed, DFT PBE
# Formation energy without anion corrections   80 kJ per mole of atoms
# D(E_F)   4.92 states/eV per cell
# Magnetic moment   0.00 μB per formula unit
data_Nb2ReRuO
_chemical_formula_sum 'Nb2 Re1 Ru1 O1'
_cell_length_a 4.966
_cell_length_b 4.966
_cell_length_c 3.571
_cell_angle_alpha 90.00
_cell_angle_beta 90.00
_cell_angle_gamma 90.00
_symmetry_space_group_name_H-M 'P 4/m m m'
_symmetry_Int_Tables_number 123
_symmetry_space_group_name_Hall '-P 4 2'
loop_
_atom_site_label
_atom_site_fract_x
_atom_site_fract_y
_atom_site_fract_z
Nb1 0.000 0.500 0.000
Re1 0.000 0.000 0.500
Ru1 0.500 0.500 0.000
O1 0.500 0.500 0.500